Computed, not measured: an optimized crystal structure of SrIn3Sn3 at the GGA-PBE level of DFT.

```
SrIn3Sn3
1.0
8.006 0.000 0.000
4.003 6.933 0.000
4.003 2.311 7.659
Sn In Sr
6 6 2
Cartesian
7.289 7.534 6.054 Sn
8.723 1.711 1.605 Sn
5.126 5.457 1.605 Sn
5.843 2.545 6.054 Sn
10.886 3.788 6.054 Sn
10.169 6.699 1.605 Sn
8.725 1.894 4.697 In
10.009 6.609 4.697 In
10.728 3.881 2.962 In
6.003 2.635 2.962 In
5.284 5.363 4.697 In
7.287 7.350 2.962 In
12.009 6.933 7.655 Sr
4.003 2.311 0.004 Sr
```

ΔE to the lowest computed polymorph = 0.0 kJ/mol of atoms
calculated density = 6.157 g/cm³